Er8CSe6: relaxed, GGA-PBE. Values from VASP.

```
&SYSTEM
  ibrav = 0, nat = 15, ntyp = 3
/
ATOMIC_SPECIES
Er 167.26 Er.upf
Se 78.96 Se.upf
C 12.01 C.upf
ATOMIC_POSITIONS angstrom
Er -2.953 -3.202 1.860
Er -2.431 -4.429 -5.737
Er -1.312 -8.472 1.082
Er -4.004 -5.763 -2.978
Er -1.380 -1.868 -0.899
Er -1.531 -5.356 -0.520
Er -4.072 0.841 -4.959
Er -3.853 -2.275 -3.357
Se -3.919 -3.679 -0.787
Se -5.997 -0.355 -2.814
Se -1.465 -3.952 -3.090
Se 0.045 -3.429 1.024
Se 0.613 -7.276 -1.063
Se -5.428 -4.202 -4.902
C -2.526 -0.941 1.047
CELL_PARAMETERS angstrom
-5.052 -1.882 2.093
-3.650 1.746 -7.241
3.319 -7.495 1.270
```

Calculated values
formation energy without anion corrections	-1.306	eV per atom

ErCSe: relaxed, GGA-PBE. Values from VASP.

```
&SYSTEM
  ibrav = 0, nat = 12, ntyp = 3
/
ATOMIC_SPECIES
Se 78.96 Se.upf
Er 167.26 Er.upf
C 12.01 C.upf
ATOMIC_POSITIONS angstrom
Se 3.458 1.935 6.301
Se 0.000 1.935 3.899
Se 0.000 3.725 0.499
Se 3.458 3.725 2.901
Er -1.729 3.984 5.100
Er 1.729 3.984 5.100
Er 5.187 1.677 1.700
Er 1.729 1.677 1.700
C 0.000 0.363 0.513
C 0.000 5.297 3.913
C 3.458 0.363 2.887
C 3.458 5.297 6.287
CELL_PARAMETERS angstrom
6.917 0.000 0.000
-3.458 5.661 0.000
0.000 0.000 6.800
```

Calculated values
formation energy without anion corrections	-0.777	eV per atom

Er4CSe2: relaxed, GGA-PBE. Values from VASP.

```
&SYSTEM
  ibrav = 0, nat = 7, ntyp = 3
/
ATOMIC_SPECIES
Er 167.26 Er.upf
Se 78.96 Se.upf
C 12.01 C.upf
ATOMIC_POSITIONS angstrom
Er 0.000 2.209 0.000
Er 2.209 2.209 3.380
Er 4.418 4.418 6.254
Er 2.209 0.000 0.000
Se 2.209 2.209 6.169
Se 4.418 4.418 3.465
C 0.000 0.000 0.000
CELL_PARAMETERS angstrom
4.418 0.000 0.000
0.000 4.418 0.000
2.209 2.209 9.633
```

Calculated values
formation energy without anion corrections	-0.425	eV per atom

Er4CSe2: relaxed, GGA-PBE. Values from VASP.

```
&SYSTEM
  ibrav = 0, nat = 7, ntyp = 3
/
ATOMIC_SPECIES
Se 78.96 Se.upf
Er 167.26 Er.upf
C 12.01 C.upf
ATOMIC_POSITIONS angstrom
Se 1.913 0.094 3.427
Se 1.913 3.218 -1.181
Er 1.913 5.255 3.563
Er 0.000 1.558 4.832
Er 0.000 5.065 -0.341
Er 1.913 1.368 0.928
C 0.000 0.000 0.000
CELL_PARAMETERS angstrom
3.826 0.000 0.000
0.000 6.436 -2.363
0.000 0.187 6.854
```

Calculated values
formation energy without anion corrections	-1.092	eV per atom

Er6C4Se: relaxed, GGA-PBE. Values from VASP.

```
&SYSTEM
  ibrav = 0, nat = 22, ntyp = 3
/
ATOMIC_SPECIES
Er 167.26 Er.upf
C 12.01 C.upf
Se 78.96 Se.upf
ATOMIC_POSITIONS angstrom
Er 0.000 0.430 2.782
Er 1.812 3.342 1.421
Er 1.812 5.612 15.712
Er 0.000 4.064 4.624
Er 1.812 1.977 13.871
Er 1.812 0.000 9.247
Er 0.000 0.430 6.465
Er 1.812 3.342 7.826
Er 1.812 5.612 12.030
Er 0.000 2.699 10.669
Er 1.812 0.000 0.000
Er 0.000 2.699 17.074
C 1.812 4.392 17.689
C 0.000 4.938 6.826
C 0.000 1.650 0.806
C 0.000 4.938 2.421
C 0.000 1.650 8.442
C 1.812 4.392 10.053
C 1.812 1.103 16.074
C 1.812 1.103 11.668
Se 0.000 4.114 13.871
Se 1.812 1.928 4.624
CELL_PARAMETERS angstrom
3.625 0.000 0.000
-1.812 6.042 0.000
0.000 0.000 18.495
```

Calculated values
formation energy without anion corrections	-0.602	eV per atom

Er4CSe3: relaxed, GGA-PBE. Values from VASP.

```
&SYSTEM
  ibrav = 0, nat = 8, ntyp = 3
/
ATOMIC_SPECIES
Er 167.26 Er.upf
C 12.01 C.upf
Se 78.96 Se.upf
ATOMIC_POSITIONS angstrom
Er 1.929 1.432 4.867
Er 0.000 1.362 0.983
Er 0.000 5.141 3.709
Er 1.929 5.071 -0.175
C 1.929 0.000 0.000
Se 1.929 3.251 2.346
Se 0.000 3.261 -1.094
Se 0.000 -0.010 3.440
CELL_PARAMETERS angstrom
3.859 0.000 0.000
0.000 6.523 -2.188
0.000 -0.020 6.880
```

Calculated values
formation energy without anion corrections	-1.471	eV per atom

Er4CSe: relaxed, GGA-PBE. Values from VASP.

```
&SYSTEM
  ibrav = 0, nat = 12, ntyp = 3
/
ATOMIC_SPECIES
Er 167.26 Er.upf
C 12.01 C.upf
Se 78.96 Se.upf
ATOMIC_POSITIONS angstrom
Er 0.291 -1.904 4.557
Er -0.472 1.862 6.430
Er 2.854 1.131 0.863
Er 2.091 4.897 2.736
Er -0.516 1.339 2.736
Er 3.661 -2.111 6.430
Er 2.898 1.654 4.557
Er -1.279 5.104 0.863
C 4.784 -0.374 0.910
C -2.402 3.367 6.383
Se 0.788 3.118 1.052
Se 1.595 -0.125 6.241
CELL_PARAMETERS angstrom
6.379 -0.499 0.000
-1.614 6.485 0.000
-2.382 -2.993 7.293
```

Calculated values
formation energy without anion corrections	-0.711	eV per atom

Er4CSe3: relaxed, GGA-PBE. Values from VASP.

```
&SYSTEM
  ibrav = 0, nat = 16, ntyp = 3
/
ATOMIC_SPECIES
Er 167.26 Er.upf
C 12.01 C.upf
Se 78.96 Se.upf
ATOMIC_POSITIONS angstrom
Er 0.380 2.653 1.976
Er 3.272 1.550 0.000
Er 0.353 7.749 0.000
Er 0.380 2.653 6.842
Er 3.144 0.712 4.409
Er 3.171 5.808 2.433
Er 0.482 6.911 4.409
Er 3.171 5.808 6.385
C 2.906 6.890 4.409
C 0.115 1.571 0.000
Se 0.395 5.533 6.858
Se 3.186 2.928 6.369
Se 3.186 2.928 2.449
Se 3.167 7.289 0.000
Se 0.395 5.533 1.960
Se 0.376 1.172 4.409
CELL_PARAMETERS angstrom
5.581 0.000 0.000
0.000 8.461 0.000
0.000 0.000 8.818
```

Calculated values
formation energy without anion corrections	-1.235	eV per atom

Quick rundown of total magnetic moment, same order as above: 0.0 0.0 0.0 0.2 0.0 0.0 0.0 0.0 μB/cell